Version 1
TcGe2Pd after structural relaxation, computed with PBE.

Structure (CIF):
```
data_TcGe2Pd
_chemical_formula_sum 'Tc1 Ge2 Pd1'
_cell_length_a 3.140
_cell_length_b 4.360
_cell_length_c 4.360
_cell_angle_alpha 90.00
_cell_angle_beta 90.00
_cell_angle_gamma 90.00
_space_group_name_H-M_alt 'P 1'
_space_group_IT_number 1
loop_
_space_group_symop_operation_xyz
'x,y,z'
loop_
_atom_site_label
_atom_site_type_symbol
_atom_site_fract_x
_atom_site_fract_y
_atom_site_fract_z
_atom_site_occupancy
Ge1 Ge 0.000 0.000 0.500 1
Ge2 Ge 0.000 0.500 0.000 1
Tc1 Tc 0.500 0.500 0.500 1
Pd1 Pd 0.500 0.000 0.000 1
```

Symmetry = No. 123
DOS(E_F) = 1.95 states/eV per cell



Version 2
TcGe2Pd after structural relaxation, computed with PBE.

Structure (CIF):
```
data_TcGe2Pd
_chemical_formula_sum 'Tc2 Ge4 Pd2'
_cell_length_a 5.690
_cell_length_b 5.690
_cell_length_c 6.746
_cell_angle_alpha 65.06
_cell_angle_beta 65.06
_cell_angle_gamma 90.00
_space_group_name_H-M_alt 'P 1'
_space_group_IT_number 1
loop_
_space_group_symop_operation_xyz
'x,y,z'
loop_
_atom_site_label
_atom_site_type_symbol
_atom_site_fract_x
_atom_site_fract_y
_atom_site_fract_z
_atom_site_occupancy
Ge1 Ge 0.616 0.125 0.250 1
Ge2 Ge 0.134 0.625 0.250 1
Ge3 Ge 0.375 0.384 0.750 1
Ge4 Ge 0.875 0.866 0.750 1
Tc1 Tc 0.500 0.500 0.000 1
Tc2 Tc 0.250 0.750 0.500 1
Pd1 Pd 0.000 0.000 0.000 1
Pd2 Pd 0.750 0.250 0.500 1
```

Symmetry = No. 122
DOS(E_F) = 9.72 states/eV per cell



Quick one: most stable of them? version 1



Version 1
TcGe2Pd after structural relaxation, computed with PBE.

Structure (CIF):
```
data_TcGe2Pd
_chemical_formula_sum 'Tc1 Ge2 Pd1'
_cell_length_a 3.152
_cell_length_b 3.152
_cell_length_c 6.056
_cell_angle_alpha 90.00
_cell_angle_beta 90.00
_cell_angle_gamma 90.00
_space_group_name_H-M_alt 'P 1'
_space_group_IT_number 1
loop_
_space_group_symop_operation_xyz
'x,y,z'
loop_
_atom_site_label
_atom_site_type_symbol
_atom_site_fract_x
_atom_site_fract_y
_atom_site_fract_z
_atom_site_occupancy
Ge1 Ge 0.000 0.000 0.768 1
Ge2 Ge 0.000 0.000 0.232 1
Tc1 Tc 0.500 0.500 0.000 1
Pd1 Pd 0.500 0.500 0.500 1
```

Symmetry = No. 123
DOS(E_F) = 2.28 states/eV per cell



Version 2
TcGe2Pd after structural relaxation, computed with PBE.

Structure (CIF):
```
data_TcGe2Pd
_chemical_formula_sum 'Tc1 Ge2 Pd1'
_cell_length_a 4.403
_cell_length_b 4.403
_cell_length_c 4.403
_cell_angle_alpha 60.00
_cell_angle_beta 60.00
_cell_angle_gamma 60.00
_space_group_name_H-M_alt 'P 1'
_space_group_IT_number 1
loop_
_space_group_symop_operation_xyz
'x,y,z'
loop_
_atom_site_label
_atom_site_type_symbol
_atom_site_fract_x
_atom_site_fract_y
_atom_site_fract_z
_atom_site_occupancy
Ge1 Ge 0.250 0.250 0.250 1
Ge2 Ge 0.750 0.750 0.750 1
Tc1 Tc 0.000 0.000 0.000 1
Pd1 Pd 0.500 0.500 0.500 1
```

Symmetry = No. 225
DOS(E_F) = 2.70 states/eV per cell



Quick one: most stable of them? version 1



Version 1
GeTePd6 after structural relaxation, computed with PBE.

Structure (CIF):
```
data_GeTePd6
_chemical_formula_sum 'Ge1 Te1 Pd6'
_cell_length_a 6.328
_cell_length_b 6.328
_cell_length_c 5.396
_cell_angle_alpha 54.09
_cell_angle_beta 54.09
_cell_angle_gamma 60.01
_space_group_name_H-M_alt 'P 1'
_space_group_IT_number 1
loop_
_space_group_symop_operation_xyz
'x,y,z'
loop_
_atom_site_label
_atom_site_type_symbol
_atom_site_fract_x
_atom_site_fract_y
_atom_site_fract_z
_atom_site_occupancy
Ge1 Ge 0.000 0.000 0.000 1
Te1 Te 0.500 0.500 0.500 1
Pd1 Pd 0.998 0.474 0.767 1
Pd2 Pd 0.761 0.998 0.767 1
Pd3 Pd 0.526 0.239 0.232 1
Pd4 Pd 0.239 0.002 0.233 1
Pd5 Pd 0.002 0.526 0.233 1
Pd6 Pd 0.474 0.761 0.768 1
```

Symmetry = No. 148
DOS(E_F) = 2.91 states/eV per cell



Version 2
GeTePd6 after structural relaxation, computed with PBE.

Structure (CIF):
```
data_GeTePd6
_chemical_formula_sum 'Ge1 Te1 Pd6'
_cell_length_a 4.026
_cell_length_b 4.026
_cell_length_c 7.989
_cell_angle_alpha 90.00
_cell_angle_beta 90.00
_cell_angle_gamma 90.00
_space_group_name_H-M_alt 'P 1'
_space_group_IT_number 1
loop_
_space_group_symop_operation_xyz
'x,y,z'
loop_
_atom_site_label
_atom_site_type_symbol
_atom_site_fract_x
_atom_site_fract_y
_atom_site_fract_z
_atom_site_occupancy
Ge1 Ge 0.000 0.000 0.500 1
Te1 Te 0.000 0.000 0.000 1
Pd1 Pd 0.500 0.500 0.000 1
Pd2 Pd 0.500 0.500 0.500 1
Pd3 Pd 0.500 0.000 0.264 1
Pd4 Pd 0.500 0.000 0.736 1
Pd5 Pd 0.000 0.500 0.264 1
Pd6 Pd 0.000 0.500 0.736 1
```

Symmetry = No. 123
DOS(E_F) = 6.33 states/eV per cell



Quick one: most stable of them? version 2